[1]
Ba2ZrTe | PBE | relaxed

CIF file:
```
data_Ba2ZrTe
_chemical_formula_sum 'Ba8 Zr4 Te4'
_space_group_name_H-M_alt 'I -4 2 d'
_space_group_IT_number 122
_space_group_name_Hall 'I -4 2bw'
_cell_length_a 9.854
_cell_length_b 9.854
_cell_length_c 6.363
_cell_angle_alpha 90.00
_cell_angle_beta 90.00
_cell_angle_gamma 90.00
loop_
_atom_site_label
_atom_site_fract_x
_atom_site_fract_y
_atom_site_fract_z
Ba1 0.211 0.750 0.125
Zr1 0.000 0.000 0.500
Te1 0.000 0.000 0.000
```

Computed properties:
For the formation energy without anion corrections, the calculation gives 0.078 eV per atom. The density of states at the Fermi level is 1.393 states/eV/atom. The total magnetization comes out at 5.78 Bohr magnetons per cell. The calculation puts the density at 5.30 g/cm³.



[2]
BaZr2Te | PBE | relaxed

CIF file:
```
data_BaZr2Te
_chemical_formula_sum 'Ba2 Zr4 Te2'
_space_group_name_H-M_alt 'A m m 2'
_space_group_IT_number 38
_space_group_name_Hall 'A 2 -2'
_cell_length_a 4.517
_cell_length_b 3.967
_cell_length_c 14.423
_cell_angle_alpha 90.00
_cell_angle_beta 90.00
_cell_angle_gamma 90.00
loop_
_atom_site_label
_atom_site_fract_x
_atom_site_fract_y
_atom_site_fract_z
Ba1 0.000 0.000 0.000
Zr1 0.000 0.000 0.749
Zr2 0.500 0.000 0.270
Te1 0.500 0.000 0.615
```

Computed properties:
For the formation energy without anion corrections, the calculation gives -0.290 eV per atom. The density of states at the Fermi level is 0.825 states/eV/atom. The total magnetization comes out at 0.00 Bohr magnetons per cell. The calculation puts the density at 5.75 g/cm³.



[3]
Ba2ZrTe | PBE | relaxed

CIF file:
```
data_Ba2ZrTe
_chemical_formula_sum 'Ba4 Zr2 Te2'
_space_group_name_H-M_alt 'A m m 2'
_space_group_IT_number 38
_space_group_name_Hall 'A 2 -2'
_cell_length_a 5.086
_cell_length_b 4.571
_cell_length_c 13.361
_cell_angle_alpha 90.00
_cell_angle_beta 90.00
_cell_angle_gamma 90.00
loop_
_atom_site_label
_atom_site_fract_x
_atom_site_fract_y
_atom_site_fract_z
Ba1 0.000 0.000 0.000
Ba2 0.500 0.000 0.300
Zr1 0.000 0.000 0.707
Te1 0.500 0.000 0.592
```

Computed properties:
For the formation energy without anion corrections, the calculation gives -0.292 eV per atom. The density of states at the Fermi level is 1.319 states/eV/atom. The total magnetization comes out at 0.73 Bohr magnetons per cell. The calculation puts the density at 5.28 g/cm³.



[4]
Ba4Th | PBE | relaxed

CIF file:
```
data_Ba4Th
_chemical_formula_sum 'Ba4 Th1'
_space_group_name_H-M_alt 'P m -3 m'
_space_group_IT_number 221
_space_group_name_Hall '-P 4 2 3'
_cell_length_a 6.801
_cell_length_b 6.801
_cell_length_c 6.801
_cell_angle_alpha 90.00
_cell_angle_beta 90.00
_cell_angle_gamma 90.00
loop_
_atom_site_label
_atom_site_fract_x
_atom_site_fract_y
_atom_site_fract_z
Ba1 0.000 0.000 0.000
Ba2 0.000 0.500 0.500
Th1 0.500 0.500 0.500
```

Computed properties:
The density of states at the Fermi level is 1.391 states/eV/atom. The total magnetization comes out at 0.00 Bohr magnetons per cell. For the calculated formation energy, the calculation gives 0.5797 eV per atom. The calculation puts the density at 4.12 g/cm³.



[5]
Ba2ThTl | PBE | relaxed

CIF file:
```
data_Ba2ThTl
_chemical_formula_sum 'Ba6 Th3 Tl3'
_space_group_name_H-M_alt 'R -3 m'
_space_group_IT_number 166
_space_group_name_Hall '-R 3 2"'
_cell_length_a 3.7537
_cell_length_b 3.7537
_cell_length_c 39.8803
_cell_angle_alpha 90.00
_cell_angle_beta 90.00
_cell_angle_gamma 120.00
loop_
_atom_site_label
_atom_site_fract_x
_atom_site_fract_y
_atom_site_fract_z
Ba1 0.0000 0.0000 0.0945
Th1 0.0000 0.0000 0.0000
Tl1 0.0000 0.0000 0.5000
```

Computed properties:
The density of states at the Fermi level is 1.526 states/eV/atom. The total magnetization comes out at 0.00 Bohr magnetons per cell. For the calculated formation energy, the calculation gives 0.3079 eV per atom. The calculation puts the density at 7.28 g/cm³.



[6]
BaThTl2 | PBE | relaxed

CIF file:
```
data_BaThTl2
_chemical_formula_sum 'Ba1 Th1 Tl2'
_space_group_name_H-M_alt 'P 4/m m m'
_space_group_IT_number 123
_space_group_name_Hall '-P 4 2'
_cell_length_a 6.059
_cell_length_b 6.059
_cell_length_c 3.601
_cell_angle_alpha 90.00
_cell_angle_beta 90.00
_cell_angle_gamma 90.00
loop_
_atom_site_label
_atom_site_fract_x
_atom_site_fract_y
_atom_site_fract_z
Ba1 0.000 0.000 0.000
Th1 0.500 0.500 0.000
Tl1 0.000 0.500 0.500
```

Computed properties:
The density of states at the Fermi level is 0.959 states/eV/atom. The total magnetization comes out at 0.00 Bohr magnetons per cell. For the calculated formation energy, the calculation gives -0.1439 eV per atom. The calculation puts the density at 9.77 g/cm³.